A plane-wave DFT calculation with PBE was carried out for crystalline GaCu15 at its relaxed geometry.

Structure (CIF):
```
data_GaCu15
_chemical_formula_sum 'Ga2 Cu30'
_cell_length_a 5.095
_cell_length_b 3.612
_cell_length_c 34.180
_cell_angle_alpha 90.00
_cell_angle_beta 90.03
_cell_angle_gamma 90.00
_space_group_name_H-M_alt 'P 1 21/m 1'
_space_group_IT_number 11
loop_
_space_group_symop_operation_xyz
'x,y,z'
'-x,-y,-z'
'-x,y+1/2,-z'
'x,-y+1/2,z'
loop_
_atom_site_label
_atom_site_fract_x
_atom_site_fract_y
_atom_site_fract_z
Ga1 0.125 0.250 0.282
Cu1 0.125 0.250 0.056
Cu2 0.125 0.250 0.130
Cu3 0.125 0.250 0.205
Cu4 0.125 0.250 0.832
Cu5 0.125 0.250 0.906
Cu6 0.125 0.250 0.981
Cu7 0.126 0.250 0.756
Cu8 0.375 0.750 0.019
Cu9 0.375 0.750 0.093
Cu10 0.375 0.750 0.168
Cu11 0.375 0.750 0.720
Cu12 0.375 0.750 0.795
Cu13 0.375 0.750 0.869
Cu14 0.375 0.750 0.944
Cu15 0.376 0.750 0.244
```

Summary:
The energy above the lowest structure with this stoichiometry comes out at 0.029 eV per atom. Its volume is 19.66 A^3/atom. The calculation puts the mass density at 5.4 g cm⁻³. For the uncorrected energy, the calculation gives -115.559 eV per cell. As for the crystal system: monoclinic.